(1)
# Tb8ScTl6

A relaxed structure of Tb8ScTl6 (PBE, Alexandria via LeMat-Bulk).

Lattice parameters (Å, degrees): 9.069 9.069 8.340 57.07 57.07 60.00
Positions (direct):
Tb: 0.556 0.225 0.327
Tb: 0.775 0.108 0.673
Tb: 0.108 0.444 0.673
Tb: 0.666 0.666 0.003
Tb: 0.334 0.334 0.997
Tb: 0.892 0.556 0.327
Tb: 0.225 0.892 0.327
Tb: 0.444 0.775 0.673
Sc: 0.000 0.000 0.000
Tl: 0.388 0.062 0.813
Tl: 0.938 0.263 0.187
Tl: 0.263 0.612 0.187
Tl: 0.737 0.388 0.813
Tl: 0.062 0.737 0.813
Tl: 0.612 0.938 0.187

Values from the calculation:
Final energy   -59.5 eV per cell
ΔE_f   -12.3 kJ per mole of atoms
SG   R-3 (148)
DOS(E_F)   21.652 states/eV/f.u.

(2)
# Tb2ScTl

A relaxed structure of Tb2ScTl (PBE, Alexandria via LeMat-Bulk).

Lattice parameters (Å, degrees): 3.354 5.512 12.916 90.00 97.46 90.00
Positions (direct):
Tb: 0.824 0.750 0.647
Tb: 0.091 0.750 0.181
Tb: 0.176 0.250 0.353
Tb: 0.909 0.250 0.819
Sc: 0.970 0.750 0.939
Sc: 0.030 0.250 0.061
Tl: 0.700 0.750 0.400
Tl: 0.300 0.250 0.600

Values from the calculation:
Final energy   -34.5 eV per cell
ΔE_f   17.4 kJ per mole of atoms
SG   Cmcm (63)
Distance to the lowest polymorph of the same formula   1.46 eV per formula unit
DOS(E_F)   5.596 states/eV/f.u.

(3)
# Tb2ScTl

A relaxed structure of Tb2ScTl (PBE, Alexandria via LeMat-Bulk).

Lattice parameters (Å, degrees): 3.627 3.627 8.623 90.00 90.00 90.00
Positions (direct):
Sc: 0.500 0.500 0.500
Tl: 0.500 0.500 0.000
Tb: 0.000 0.000 0.756
Tb: 0.000 0.000 0.244

Values from the calculation:
Final energy   -18.5 eV per cell
ΔE_f   -14.0 kJ per mole of atoms
SG   P4/mmm (123)
Distance to the lowest polymorph of the same formula   0.16 eV per formula unit
DOS(E_F)   5.689 states/eV/f.u.

Q: Among the records above, which one has the lowest DOS(E_F)?
A: number 2

Q: Which of these has the highest ΔE_f?
A: number 2